No. 1
# LaTc2P

LaTc2P after structural relaxation (GGA-PBEsol, Alexandria).

Summary:
formation energy = -0.2577 eV per atom
N(E_F) = 3.07 states/eV/cell
SG = Pm (6)
M_tot = 0.00 Bohr magnetons per cell
E = -34.70 eV/cell

abc: 3.5505 3.9273 5.5847
angles: 90.00 94.10 90.00
Fractional positions:
La: 0.6109 0.0000 0.5479
Tc: 0.6711 0.5000 0.0819
Tc: 0.0749 0.0000 0.0672
P: 0.1432 0.5000 0.8029

No. 2
# SrAg2Os

SrAg2Os after structural relaxation (GGA-PBEsol, Alexandria).

Summary:
formation energy = 0.6226 eV per atom
N(E_F) = 2.59 states/eV/cell
SG = Pmm2 (25)
M_tot = 0.00 Bohr magnetons per cell
E = -18.19 eV/cell
polymorph energy (0 for the lowest one) = 0 meV per atom

abc: 2.7580 4.4509 6.2167
angles: 90.00 90.00 90.00
Fractional positions:
Ag: 0.0000 0.0000 0.0340
Os: 0.0000 0.0000 0.4673
Ag: 0.5000 0.5000 0.2577
Sr: 0.5000 0.5000 0.7410

No. 3
# Ni2AgAu2

Ni2AgAu2 after structural relaxation (GGA-PBEsol, Alexandria).

Summary:
formation energy = 0.2829 eV per atom
N(E_F) = 7.42 states/eV/cell
SG = I4/mmm (139)
M_tot = 0.96 Bohr magnetons per cell
E = -22.06 eV/cell

abc: 3.3488 3.3488 7.2480
angles: 103.36 103.36 90.00
Last column: magnetic moment on the atom in μB.
Fractional positions:
Ni: 0.2500 0.7500 0.5000  0.48
Au: 0.6063 0.6063 0.2126  0.02
Ni: 0.7500 0.2500 0.5000  0.48
Au: 0.3937 0.3937 0.7874  0.02
Ag: 0.0000 0.0000 0.0000  0.00